# 1
This record from Alexandria via LeMat-Bulk describes a geometry-optimized Hf2InPb structure. The functional is PBE.

```
Hf2InPb
1.0
1.4610 -2.9132 -3.8710
1.6020 -4.7237 0.8521
-2.8484 -3.9330 -1.4226
Pb Hf In
1 2 1
Cartesian
0.1073 -5.7849 -2.2207
0.0536 -2.8925 -1.1104
0.1609 -8.6774 -3.3311
0.0000 0.0000 0.0000
```

Summary:
The calculation puts the formation energy at 0.1628 eV per atom. As for the symmetry: Fm-3m. The offset from the most stable computed form is 178 meV per atom. Its total energy is -0.236 hartree per atom.

# 2
This record from Alexandria via LeMat-Bulk describes a geometry-optimized Rb structure. The functional is PBE.

```
Rb
1.0
-3.2788 -1.8348 -3.0749
4.6656 -0.9360 -0.9631
-1.1520 -5.8390 6.8188
Rb
2
Cartesian
0.3553 -6.7115 1.5196
-0.1205 -1.8984 1.2612
```

Summary:
The calculation puts the formation energy at 0.0356 eV per atom. As for the symmetry: Fmmm. The offset from the most stable computed form is 36 meV per atom. Its total energy is -0.034 hartree per atom.

# 3
This record from Alexandria via LeMat-Bulk describes a geometry-optimized Sb3BrCl structure. The functional is PBE.

```
Sb3BrCl
1.0
-1.5302 3.9710 -3.5844
-5.0188 -2.3560 -0.4676
-1.8515 3.1046 4.2298
Sb Br Cl
3 1 1
Cartesian
-2.5094 -1.1780 -0.2338
-0.9258 1.5523 2.1149
-0.7651 1.9855 -1.7922
0.0000 0.0000 0.0000
-4.2003 2.3598 0.0889
```

Summary:
As for the symmetry: Pm-3m. The offset from the most stable computed form is 121 meV per atom. For the uncorrected formation energy, the calculation gives 904 meV per atom. Its total energy is -0.084 hartree per atom.

# 4
This record from Alexandria via LeMat-Bulk describes a geometry-optimized Na2SnGeO5 structure. The functional is PBE.

```
Na2SnGeO5
1.0
3.0922 0.0000 0.0000
-1.5461 6.7033 0.0000
0.0000 0.0000 11.4841
Na Sn Ge O
4 2 2 10
Cartesian
1.5461 4.9397 8.5663
0.0000 1.5280 8.3233
0.0000 1.7636 2.8243
1.5461 5.1753 2.5812
1.5461 3.4023 5.8318
0.0000 3.3009 0.0898
1.5461 0.0462 11.0313
0.0000 6.6571 5.2893
0.0000 5.3483 0.5981
1.5461 3.2542 10.2000
0.0000 6.5843 9.3197
0.0000 3.6840 7.1999
1.5461 5.7398 5.8125
1.5461 1.3549 6.3402
0.0000 3.4491 4.4579
1.5461 0.1190 3.5776
1.5461 3.0193 1.4579
0.0000 0.9635 0.0704
```

Summary:
As for the symmetry: Cmc2_1. For the uncorrected formation energy, the calculation gives -1688 meV per atom. Its total energy is -0.209 hartree per atom.

# 5
This record from Alexandria via LeMat-Bulk describes a geometry-optimized K2CuRe structure. The functional is PBE.

```
K2CuRe
1.0
11.4040 -0.0246 -0.0144
11.0368 2.8708 -0.0144
11.0368 1.3998 2.5065
Cu K Re
1 2 1
Cartesian
25.1082 3.1845 1.8583
0.0669 0.0085 0.0049
16.6719 2.1145 1.2339
8.3694 1.0615 0.6194
```

Summary:
The calculation puts the formation energy at 1.2289 eV per atom. As for the symmetry: R-3m. The offset from the most stable computed form is 326 meV per atom. Its total energy is -0.127 hartree per atom.

# 6
This record from Alexandria via LeMat-Bulk describes a geometry-optimized CrInAs structure. The functional is PBE.

```
CrInAs
1.0
3.1680 0.0000 0.0000
0.0000 3.1680 0.0000
0.0000 0.0000 10.8827
Cr As In
2 2 2
Cartesian
0.0000 1.5840 10.1055
1.5840 0.0000 0.7772
0.0000 1.5840 1.8463
1.5840 0.0000 9.0365
0.0000 1.5840 6.7355
1.5840 0.0000 4.1472
```

Summary:
The calculation puts the formation energy at 0.0380 eV per atom. As for the symmetry: P4/nmm. The offset from the most stable computed form is 21 meV per atom. Its total energy is -0.207 hartree per atom.

# 7
This record from Alexandria via LeMat-Bulk describes a geometry-optimized SmTlHgAu structure. The functional is PBE.

```
SmTlHgAu
1.0
-1.1369 2.1598 4.5487
3.1744 -0.6299 4.0217
2.7888 3.9823 1.7354
Tl Au Hg Sm
1 1 1 1
Cartesian
1.2066 1.3780 2.5764
0.0000 0.0000 0.0000
2.4132 2.7561 5.1529
3.6197 4.1341 7.7293
```

Summary:
The calculation puts the formation energy at -0.4412 eV per atom. As for the symmetry: F-43m. Its total energy is -0.114 hartree per atom.

# 8
This record from Alexandria via LeMat-Bulk describes a geometry-optimized KNaSb2 structure. The functional is PBE.

```
KNaSb2
1.0
-2.8366 2.5869 -3.8696
-6.4828 -2.2488 3.2489
-0.0977 11.2647 7.6024
K Na Sb
4 4 8
Cartesian
-4.3110 4.9320 0.6986
-5.1061 6.6708 6.2831
-7.5364 1.9639 1.0788
-1.8807 9.6388 5.9029
-4.2555 1.8596 -1.3961
-5.1616 9.7432 8.3778
-7.5344 5.0563 3.1446
-1.8827 6.5465 3.8371
-0.8646 4.4534 1.6914
-8.5525 7.1494 5.2903
-4.0881 1.2633 1.9218
-5.3290 10.3394 5.0599
-1.6300 1.8392 0.5049
-7.7871 9.7635 6.4768
-4.8941 3.3323 3.8958
-4.5230 8.2704 3.0858
```

Summary:
As for the symmetry: Pnma. The offset from the most stable computed form is 0 meV per atom. For the uncorrected formation energy, the calculation gives -326 meV per atom. Its total energy is -0.110 hartree per atom.